Re2SiCl | the Alexandria database | GGA-PBE | optimized geometry; total magnetic moment = 0.0001 μB/atom; raw formation energy = 0.60 eV per atom; energy above the lowest structure with this stoichiometry = 0.341 eV/atom
1.0
5.038 -1.473 0.000
5.038 1.473 0.000
-0.948 0.000 3.983
Re Si Cl
2 1 1
direct
0.000 0.000 0.000
0.738 0.738 0.289
0.449 0.449 0.454
0.206 0.206 0.801